# BaCaNdMnO6

BaCaNdMnO6 after structural relaxation (PBE+U, the Alexandria database).

The structure in POSCAR format:
```
BaCaNdMnO6
1.0
0.000 4.204 4.204
4.204 0.000 4.204
4.204 4.204 0.000
Ba Ca Nd Mn O
1 1 1 1 6
Cartesian
0.000 0.000 0.000 Ba
4.204 4.204 4.204 Ca
6.306 6.306 6.306 Nd
2.102 2.102 2.102 Mn
2.102 2.102 0.190 O
2.102 0.190 2.102 O
4.014 2.102 2.102 O
0.190 2.102 2.102 O
2.102 4.014 2.102 O
2.102 2.102 4.014 O
```

Symmetry: F-43m
Calculated total energy (eV per atom): -6.839
Crystal system: cubic
V (Å³ per cell): 148.6